VASP calculation (PBE) on a geometry-optimized Pm2HoNi structure.

Calculated values
Its excess energy over the best structure of this formula in the dataset is 50 kJ/mol of formula units. The calculation puts the energy at -5.04 eV per atom. The value obtained for the energy relative to the elements is -0.075 eV/atom.

abc: 3.5412 3.5412 8.6594
angles: 90.00 90.00 90.00
Fractional positions:
Pm: 0.0000 0.0000 0.1921
Pm: 0.0000 0.0000 0.8079
Ho: 0.5000 0.5000 0.5000
Ni: 0.5000 0.5000 0.0000